# TbCoPO

Crystalline TbCoPO at its relaxed geometry (GGA+U, the Open Quantum Materials Database).

uncorrected energy	-6.4347	eV/atom
total moment	0.7500	μB/atom

```
data_TbCoPO
_symmetry_space_group_name_H-M 'P m c 21'
_symmetry_Int_Tables_number 26
_cell_length_a 4.289
_cell_length_b 5.981
_cell_length_c 5.713
_cell_angle_alpha 90.00
_cell_angle_beta 90.00
_cell_angle_gamma 90.00
loop_
_symmetry_equiv_pos_as_xyz
'x,y,z'
'-x,-y,z+1/2'
'-x,y,z'
'x,-y,z+1/2'
loop_
_atom_site_label
_atom_site_type_symbol
_atom_site_fract_x
_atom_site_fract_y
_atom_site_fract_z
_atom_site_occupancy
Tb1 Tb 0.000 0.235 0.000 1
Co1 Co 0.500 0.363 0.616 1
P1 P 0.000 0.235 0.499 1
O1 O 0.500 0.336 0.972 1
```